Na4Co3SeO8 | GGA+U | relaxed

```
Na4Co3SeO8
1.0
3.0794 1.7779 5.3311
-3.0794 1.7779 5.3311
0.0000 -3.5557 5.3311
Na Co Se O
4 3 1 8
Cartesian
0.0000 0.0000 0.0000
-1.5397 -0.8889 5.3311
-1.5397 0.8889 10.6623
0.0000 1.7779 5.3311
-3.0794 0.0000 7.9967
-1.5397 0.8889 2.6656
1.5397 0.8889 2.6656
0.0000 0.0000 7.9967
0.0000 0.0000 3.7140
-1.3591 -0.7847 9.0489
0.0000 -1.5694 6.9446
-1.3591 0.7847 6.9446
1.3591 -0.7847 9.0488
0.0000 1.5694 9.0488
1.3591 0.7847 6.9446
0.0000 0.0000 12.2794
```

Computed properties:
The total energy comes out at -82.65 eV per cell.